# 1
Material: Re3As
Method: DFT, GGA-PBEsol
State: relaxed

Summary:
Relative energy among the computed polymorphs ... 0.00 eV per formula unit
Formation energy ... 0.18 eV/atom
Calculated volume ... 58.5 Å³ per cell
Spin magnetization ... 0.0 μB/f.u.

abc: 2.815 2.815 8.672
angles: 80.66 80.66 60.00
Atoms (fractional coordinates):
As1 0.000 0.000 0.000
Re1 0.749 0.749 0.753
Re2 0.500 0.500 0.500
Re3 0.251 0.251 0.247


# 2
Material: LaAgHg2
Method: DFT, GGA-PBEsol
State: relaxed

Summary:
Formation energy ... -0.26 eV/atom
Calculated volume ... 97.2 Å³ per cell
Spin magnetization ... 0.0 μB/f.u.

abc: 4.744 4.527 4.527
angles: 90.00 90.00 90.00
Atoms (fractional coordinates):
La1 0.500 0.500 0.500
Ag1 0.500 0.000 0.000
Hg1 0.000 0.500 0.000
Hg2 0.000 0.000 0.500


# 3
Material: CaZr2Cu
Method: DFT, GGA-PBEsol
State: relaxed

Summary:
Relative energy among the computed polymorphs ... 0.57 eV per formula unit
Formation energy ... 0.42 eV/atom
Calculated volume ... 83.5 Å³ per cell
Spin magnetization ... 0.0 μB/f.u.

abc: 4.353 4.353 5.373
angles: 113.90 113.90 90.00
Atoms (fractional coordinates):
Cu1 0.250 0.750 0.500
Ca1 0.500 0.500 0.000
Zr1 0.750 0.250 0.500
Zr2 0.000 0.000 0.000


# 4
Material: Mo8Os
Method: DFT, GGA-PBEsol
State: relaxed

Summary:
Formation energy ... 0.07 eV/atom
Calculated volume ... 136.6 Å³ per cell
Spin magnetization ... 0.0 μB/f.u.

abc: 3.122 6.795 6.795
angles: 86.97 76.72 76.72
Atoms (fractional coordinates):
Mo1 0.668 0.000 0.665
Mo2 0.332 0.668 0.668
Mo3 0.000 0.332 0.668
Mo4 0.668 0.665 0.000
Mo5 0.332 0.000 0.335
Mo6 0.332 0.335 0.000
Mo7 0.668 0.332 0.332
Mo8 0.000 0.668 0.332
Os1 0.000 0.000 0.000


# 5
Material: Fe2ReMo
Method: DFT, GGA-PBEsol
State: relaxed

Summary:
Formation energy ... 0.15 eV/atom
Calculated volume ... 52.3 Å³ per cell
Spin magnetization ... 4.2 μB/f.u.

abc: 2.572 4.858 4.858
angles: 115.98 98.70 98.70
Each line ends with the local moment (μB).
Atoms (fractional coordinates):
Mo1 0.500 0.000 0.000  -0.12
Fe1 0.000 0.000 0.500  2.17
Re1 0.500 0.500 0.500  0.03
Fe2 0.000 0.500 0.000  2.17


# 6
Material: FeHgRu
Method: DFT, GGA-PBEsol
State: relaxed

Summary:
Relative energy among the computed polymorphs ... 0.62 eV per formula unit
Formation energy ... 0.54 eV/atom
Calculated volume ... 44.7 Å³ per cell
Spin magnetization ... 2.8 μB/f.u.

abc: 2.882 4.231 4.231
angles: 120.00 90.00 90.00
Each line ends with the local moment (μB).
Atoms (fractional coordinates):
Ru1 0.500 0.333 0.667  0.44
Fe1 0.500 0.000 0.000  2.32
Hg1 0.000 0.667 0.333  -0.01


# 7
Material: CrCuTe2I
Method: DFT, GGA-PBEsol
State: relaxed

Summary:
Formation energy without anion corrections ... 67.11 kJ/mol of atoms
Calculated volume ... 140.3 Å³ per cell
Spin magnetization ... 2.3 μB/f.u.

abc: 5.028 5.028 5.548
angles: 90.00 90.00 90.00
Each line ends with the local moment (μB).
Atoms (fractional coordinates):
Te1 0.000 0.500 0.000  -0.18
Te2 0.500 0.000 0.000  -0.18
Cr1 0.000 0.000 0.000  2.64
Cu1 0.500 0.500 0.500  -0.03
I1 0.000 0.000 0.500  -0.06


# 8
Material: Nd2W3O12
Method: DFT, GGA-PBEsol
State: relaxed

Summary:
Formation energy without anion corrections ... -250.45 kJ/mol of atoms
Calculated volume ... 489.8 Å³ per cell
Spin magnetization ... 0.0 μB/f.u.

abc: 6.968 6.968 11.528
angles: 100.75 100.75 111.88
Atoms (fractional coordinates):
O1 0.707 0.619 0.219
Nd1 0.788 0.541 0.594
Nd2 0.459 0.212 0.906
Nd3 0.212 0.459 0.406
W1 0.038 0.249 0.048
W2 0.962 0.751 0.952
Nd4 0.541 0.788 0.094
O2 0.100 0.026 0.927
O3 0.418 0.838 0.890
W3 0.249 0.038 0.548
O4 0.582 0.162 0.110
W4 0.751 0.962 0.452
O5 0.381 0.293 0.281
O6 0.607 0.960 0.305
O7 0.838 0.270 0.939
O8 0.730 0.162 0.561
O9 0.411 0.312 0.540
O10 0.960 0.607 0.805
W5 0.634 0.366 0.250
O11 0.974 0.900 0.573
O12 0.040 0.393 0.195
O13 0.162 0.582 0.610
O14 0.162 0.730 0.061
O15 0.589 0.688 0.460
O16 0.270 0.838 0.439
O17 0.026 0.100 0.427
O18 0.312 0.411 0.040
O19 0.293 0.381 0.781
O20 0.619 0.707 0.719
O21 0.688 0.589 0.960
W6 0.366 0.634 0.750
O22 0.393 0.040 0.695
O23 0.838 0.418 0.390
O24 0.900 0.974 0.073


# 9
Material: Ce2SiPd14
Method: DFT, GGA-PBEsol
State: relaxed

Summary:
Formation energy without anion corrections ... -54.68 kJ/mol of atoms
Calculated volume ... 536.6 Å³ per cell
Spin magnetization ... 0.3 μB/f.u.

abc: 6.870 8.838 8.838
angles: 90.00 90.00 90.00
Each line ends with the local moment (μB).
Atoms (fractional coordinates):
Pd1 0.000 0.250 0.250  -0.01
Pd2 0.614 0.665 0.835  0.00
Pd3 0.746 0.231 0.500  0.00
Pd4 0.254 0.269 0.000  0.00
Pd5 0.386 0.165 0.335  0.00
Pd6 0.000 0.750 0.250  -0.01
Ce1 0.500 0.500 0.500  0.07
Ce2 0.931 0.500 0.000  0.25
Pd7 0.746 0.769 0.500  0.00
Pd8 0.614 0.665 0.165  0.00
Pd9 0.000 0.750 0.750  -0.01
Pd10 0.850 0.500 0.651  -0.01
Ce3 0.500 0.000 0.000  0.07
Pd11 0.150 0.000 0.849  -0.01
Pd12 0.850 0.500 0.349  -0.01
Pd13 0.254 0.731 0.000  0.00
Si1 0.557 0.000 0.500  0.00
Pd14 0.386 0.165 0.665  0.00
Pd15 0.850 0.151 0.000  -0.01
Pd16 0.386 0.835 0.665  0.00
Pd17 0.614 0.335 0.165  0.00
Pd18 0.150 0.000 0.151  -0.01
Pd19 0.254 0.500 0.769  0.00
Ce4 0.069 0.000 0.500  0.25
Pd20 0.150 0.651 0.500  -0.01
Pd21 0.746 0.000 0.731  0.00
Pd22 0.254 0.500 0.231  0.00
Pd23 0.000 0.250 0.750  -0.01
Pd24 0.614 0.335 0.835  0.00
Pd25 0.746 0.000 0.269  0.00
Si2 0.443 0.500 0.000  0.00
Pd26 0.850 0.849 0.000  -0.01
Pd27 0.150 0.349 0.500  -0.01
Pd28 0.386 0.835 0.335  0.00


# 10
Material: Zr2BS2
Method: DFT, GGA-PBEsol
State: relaxed

Summary:
Formation energy without anion corrections ... -25.44 kJ/mol of atoms
Calculated volume ... 79.7 Å³ per cell
Spin magnetization ... 0.0 μB/f.u.

abc: 3.474 3.474 7.046
angles: 104.27 104.27 90.00
Atoms (fractional coordinates):
B1 0.000 0.000 0.000
Zr1 0.605 0.605 0.210
S1 0.750 0.250 0.500
S2 0.250 0.750 0.500
Zr2 0.395 0.395 0.790


# 11
Material: MgScCr
Method: DFT, GGA-PBEsol
State: relaxed

Summary:
Formation energy ... 1.01 eV/atom
Calculated volume ... 70.2 Å³ per cell
Spin magnetization ... 3.4 μB/f.u.

abc: 4.630 4.630 4.630
angles: 60.00 60.00 60.00
Each line ends with the local moment (μB).
Atoms (fractional coordinates):
Cr1 0.500 0.500 0.500  3.59
Mg1 0.250 0.250 0.250  -0.03
Sc1 0.000 0.000 0.000  -0.33


# 12
Material: CaEr2Te4
Method: DFT, GGA-PBEsol
State: relaxed

Summary:
Formation energy without anion corrections ... -138.25 kJ/mol of atoms
Calculated volume ... 229.0 Å³ per cell
Spin magnetization ... 0.0 μB/f.u.

abc: 4.300 7.361 7.601
angles: 107.86 90.00 90.00
Atoms (fractional coordinates):
Te1 0.000 0.748 0.239
Er1 0.000 0.000 0.000
Te2 0.500 0.762 0.755
Te3 0.000 0.252 0.761
Te4 0.500 0.238 0.245
Er2 0.500 0.500 0.000
Ca1 0.000 0.500 0.500


# 13
Material: NaCo2SbAs
Method: DFT, GGA-PBEsol
State: relaxed

Summary:
Formation energy without anion corrections ... 170.23 kJ/mol of atoms
Calculated volume ... 100.5 Å³ per cell
Spin magnetization ... 3.1 μB/f.u.

abc: 4.479 4.479 5.010
angles: 90.00 90.00 90.00
Each line ends with the local moment (μB).
Atoms (fractional coordinates):
As1 0.500 0.500 0.500  -0.02
Na1 0.000 0.000 0.000  -0.03
Co1 0.000 0.500 0.000  1.60
Co2 0.500 0.000 0.000  1.60
Sb1 0.000 0.000 0.500  0.00


# 14
Material: YHf2Mo
Method: DFT, GGA-PBEsol
State: relaxed

Summary:
Formation energy ... 0.27 eV/atom
Calculated volume ... 81.5 Å³ per cell
Spin magnetization ... 0.0 μB/f.u.

abc: 4.866 4.866 4.866
angles: 60.00 60.00 60.00
Atoms (fractional coordinates):
Hf1 0.250 0.250 0.250
Hf2 0.750 0.750 0.750
Mo1 0.500 0.500 0.500
Y1 0.000 0.000 0.000